Entry 1:
# Pa2Al2Fe4B

A geometry-optimized Pa2Al2Fe4B structure (PBE, Alexandria).

abc: 5.550 5.550 5.550
angles: 98.50 115.22 115.22
Site moments in Bohr magnetons follow the coordinates.
Positions (direct):
Fe (0.514, 0.757, 0.757)  0.24
Fe (0.000, 0.243, 0.757)  0.24
Fe (0.486, 0.243, 0.243)  0.24
Fe (0.000, 0.757, 0.243)  0.24
Pa (0.500, 0.750, 0.250)  -0.09
Pa (0.500, 0.250, 0.750)  -0.09
B (0.000, 0.000, 0.000)  -0.01
Al (0.000, 0.691, 0.691)  0.00
Al (0.000, 0.309, 0.309)  0.00

Summary:
total magnetization: 0.7 μB per formula unit
DFT formation energy: -0.216 eV per atom
raw total energy: -7.661 eV per atom

Entry 2:
# Pa2AlFe5B2

A geometry-optimized Pa2AlFe5B2 structure (PBE, Alexandria).

abc: 3.066 9.047 9.047
angles: 90.00 90.00 90.00
Positions (direct):
B (0.000, 0.119, 0.619)
B (0.000, 0.881, 0.381)
B (0.000, 0.619, 0.881)
B (0.000, 0.381, 0.119)
Pa (0.000, 0.677, 0.177)
Pa (0.000, 0.823, 0.677)
Pa (0.000, 0.177, 0.323)
Pa (0.000, 0.323, 0.823)
Fe (0.500, 0.571, 0.725)
Fe (0.500, 0.225, 0.071)
Fe (0.500, 0.929, 0.225)
Fe (0.500, 0.071, 0.775)
Fe (0.500, 0.429, 0.275)
Fe (0.500, 0.725, 0.429)
Fe (0.500, 0.000, 0.500)
Fe (0.500, 0.775, 0.929)
Fe (0.500, 0.275, 0.571)
Fe (0.500, 0.500, 0.000)
Al (0.000, 0.500, 0.500)
Al (0.000, 0.000, 0.000)

Summary:
total magnetization: 0.0 μB per formula unit
DFT formation energy: -0.419 eV per atom
raw total energy: -8.260 eV per atom

Entry 3:
# PmAl2Fe2B

A geometry-optimized PmAl2Fe2B structure (PBE, Alexandria).

abc: 3.979 3.979 5.563
angles: 90.00 90.00 90.00
Site moments in Bohr magnetons follow the coordinates.
Positions (direct):
Al (0.500, 0.500, 0.252)  0.00
Al (0.500, 0.500, 0.748)  0.00
Fe (0.500, 0.000, 0.000)  0.18
Fe (0.000, 0.500, 0.000)  0.18
Pm (0.000, 0.000, 0.500)  -0.01
B (0.000, 0.000, 0.000)  -0.01

Summary:
total magnetization: 0.3 μB per formula unit
DFT formation energy: -0.425 eV per atom
raw total energy: -6.398 eV per atom

Entry 4:
# RbAlFe2B

A geometry-optimized RbAlFe2B structure (PBE, Alexandria).

abc: 4.664 6.174 4.664
angles: 90.00 90.00 90.00
Site moments in Bohr magnetons follow the coordinates.
Positions (direct):
Rb (0.000, 0.500, 0.000)  -0.05
Al (0.000, 0.000, 0.000)  -0.10
Fe (0.500, 0.000, 0.000)  2.85
Fe (0.000, 0.000, 0.500)  2.94
B (0.500, 0.500, 0.500)  -0.36

Summary:
total magnetization: 4.6 μB per formula unit
DFT formation energy: 1.980 eV per atom
raw total energy: -3.683 eV per atom

Entry 5:
# AlFe5Re2B2

A geometry-optimized AlFe5Re2B2 structure (PBE, Alexandria).

abc: 2.762 8.671 8.671
angles: 90.00 90.00 90.00
Site moments in Bohr magnetons follow the coordinates.
Positions (direct):
Re (0.000, 0.821, 0.679)  0.04
Re (0.000, 0.679, 0.179)  0.04
Re (0.000, 0.179, 0.321)  0.04
Re (0.000, 0.321, 0.821)  0.04
Fe (0.500, 0.783, 0.935)  0.01
Fe (0.500, 0.935, 0.217)  0.01
Fe (0.500, 0.435, 0.283)  0.01
Fe (0.500, 0.500, 0.000)  0.22
Fe (0.500, 0.283, 0.565)  0.01
Fe (0.500, 0.000, 0.500)  0.22
Fe (0.500, 0.717, 0.435)  0.01
Fe (0.500, 0.565, 0.717)  0.01
Fe (0.500, 0.217, 0.065)  0.01
Fe (0.500, 0.065, 0.783)  0.01
Al (0.000, 0.000, 0.000)  0.00
Al (0.000, 0.500, 0.500)  0.00
B (0.000, 0.376, 0.124)  -0.01
B (0.000, 0.124, 0.624)  -0.01
B (0.000, 0.624, 0.876)  -0.01
B (0.000, 0.876, 0.376)  -0.01

Summary:
total magnetization: 0.3 μB per formula unit
DFT formation energy: -0.255 eV per atom
raw total energy: -8.686 eV per atom

Entry 6:
# Tb2AlFe5B2

A geometry-optimized Tb2AlFe5B2 structure (PBE, Alexandria).

abc: 3.169 9.059 9.059
angles: 90.00 90.00 90.00
Site moments in Bohr magnetons follow the coordinates.
Positions (direct):
Tb (0.000, 0.821, 0.679)  -0.30
Tb (0.000, 0.679, 0.179)  -0.30
Tb (0.000, 0.179, 0.321)  -0.30
Tb (0.000, 0.321, 0.821)  -0.30
Al (0.000, 0.000, 0.000)  -0.04
Al (0.000, 0.500, 0.500)  -0.04
Fe (0.500, 0.932, 0.231)  1.52
Fe (0.500, 0.769, 0.932)  1.52
Fe (0.500, 0.432, 0.269)  1.52
Fe (0.500, 0.231, 0.068)  1.52
Fe (0.500, 0.000, 0.500)  1.35
Fe (0.500, 0.068, 0.769)  1.52
Fe (0.500, 0.568, 0.731)  1.52
Fe (0.500, 0.269, 0.568)  1.52
Fe (0.500, 0.731, 0.432)  1.52
Fe (0.500, 0.500, 0.000)  1.35
B (0.000, 0.117, 0.617)  -0.11
B (0.000, 0.883, 0.383)  -0.11
B (0.000, 0.617, 0.883)  -0.11
B (0.000, 0.383, 0.117)  -0.11

Summary:
total magnetization: 6.5 μB per formula unit
DFT formation energy: -0.187 eV per atom
raw total energy: -7.054 eV per atom

Entry 7:
# AlFe5Tc2B2

A geometry-optimized AlFe5Tc2B2 structure (PBE, Alexandria).

abc: 2.754 8.679 8.679
angles: 90.00 90.00 90.00
Positions (direct):
Fe (0.500, 0.935, 0.217)
Fe (0.500, 0.565, 0.717)
Fe (0.500, 0.783, 0.935)
Fe (0.500, 0.000, 0.500)
Fe (0.500, 0.283, 0.565)
Fe (0.500, 0.500, 0.000)
Fe (0.500, 0.435, 0.283)
Fe (0.500, 0.217, 0.065)
Fe (0.500, 0.717, 0.435)
Fe (0.500, 0.065, 0.783)
B (0.000, 0.624, 0.876)
B (0.000, 0.376, 0.124)
B (0.000, 0.876, 0.376)
B (0.000, 0.124, 0.624)
Al (0.000, 0.500, 0.500)
Al (0.000, 0.000, 0.000)
Tc (0.000, 0.321, 0.821)
Tc (0.000, 0.179, 0.321)
Tc (0.000, 0.679, 0.179)
Tc (0.000, 0.821, 0.679)

Summary:
total magnetization: 0.0 μB per formula unit
DFT formation energy: -0.243 eV per atom
raw total energy: -8.257 eV per atom

Entry 8:
# Al2FeBTe

A geometry-optimized Al2FeBTe structure (PBE, Alexandria).

abc: 5.300 4.584 5.300
angles: 90.00 90.00 90.00
Site moments in Bohr magnetons follow the coordinates.
Positions (direct):
Fe (0.000, 0.500, 0.000)  -0.14
Al (0.500, 0.000, 0.000)  0.01
Al (0.000, 0.000, 0.500)  0.01
Te (0.000, 0.000, 0.000)  0.01
B (0.500, 0.500, 0.500)  0.04

Summary:
formation energy from raw total energies: 2012 meV per atom
total magnetization: 0.0 μB per formula unit
raw total energy: -3.142 eV per atom

Entry 9:
# Ti2AlFe5B2

A geometry-optimized Ti2AlFe5B2 structure (PBE, Alexandria).

abc: 2.883 8.600 8.600
angles: 90.00 90.00 90.00
Site moments in Bohr magnetons follow the coordinates.
Positions (direct):
Ti (0.000, 0.675, 0.175)  -0.20
Ti (0.000, 0.325, 0.825)  -0.20
Ti (0.000, 0.825, 0.675)  -0.20
Ti (0.000, 0.175, 0.325)  -0.20
Fe (0.500, 0.718, 0.431)  0.54
Fe (0.500, 0.782, 0.931)  0.54
Fe (0.500, 0.931, 0.218)  0.54
Fe (0.500, 0.500, 0.000)  0.29
Fe (0.500, 0.569, 0.718)  0.54
Fe (0.500, 0.218, 0.069)  0.54
Fe (0.500, 0.000, 0.500)  0.29
Fe (0.500, 0.431, 0.282)  0.54
Fe (0.500, 0.069, 0.782)  0.54
Fe (0.500, 0.282, 0.569)  0.54
B (0.000, 0.123, 0.623)  -0.03
B (0.000, 0.377, 0.123)  -0.03
B (0.000, 0.877, 0.377)  -0.03
B (0.000, 0.623, 0.877)  -0.03
Al (0.000, 0.500, 0.500)  -0.01
Al (0.000, 0.000, 0.000)  -0.01

Summary:
total magnetization: 1.9 μB per formula unit
DFT formation energy: -0.493 eV per atom
raw total energy: -8.013 eV per atom

Entry 10:
# Tm2AlFe5B2

A geometry-optimized Tm2AlFe5B2 structure (PBE, Alexandria).

abc: 3.136 8.952 8.952
angles: 90.00 90.00 90.00
Site moments in Bohr magnetons follow the coordinates.
Positions (direct):
Fe (0.500, 0.432, 0.273)  1.43
Fe (0.500, 0.500, 0.000)  1.28
Fe (0.500, 0.932, 0.227)  1.43
Fe (0.500, 0.568, 0.727)  1.43
Fe (0.500, 0.000, 0.500)  1.28
Fe (0.500, 0.227, 0.068)  1.43
Fe (0.500, 0.727, 0.432)  1.43
Fe (0.500, 0.773, 0.932)  1.43
Fe (0.500, 0.273, 0.568)  1.43
Fe (0.500, 0.068, 0.773)  1.43
Al (0.000, 0.000, 0.000)  -0.04
Al (0.000, 0.500, 0.500)  -0.04
B (0.000, 0.619, 0.881)  -0.10
B (0.000, 0.381, 0.119)  -0.10
B (0.000, 0.881, 0.381)  -0.10
B (0.000, 0.119, 0.619)  -0.10
Tm (0.000, 0.822, 0.678)  -0.33
Tm (0.000, 0.678, 0.178)  -0.33
Tm (0.000, 0.322, 0.822)  -0.33
Tm (0.000, 0.178, 0.322)  -0.33

Summary:
total magnetization: 6.1 μB per formula unit
DFT formation energy: -0.267 eV per atom
raw total energy: -7.102 eV per atom

Entry 11:
# AlV2Fe5B2

A geometry-optimized AlV2Fe5B2 structure (PBE, Alexandria).

abc: 2.807 8.505 8.505
angles: 90.00 90.00 90.00
Positions (direct):
V (0.000, 0.676, 0.176)
V (0.000, 0.324, 0.824)
V (0.000, 0.824, 0.676)
V (0.000, 0.176, 0.324)
Al (0.000, 0.000, 0.000)
Al (0.000, 0.500, 0.500)
B (0.000, 0.124, 0.624)
B (0.000, 0.376, 0.124)
B (0.000, 0.624, 0.876)
B (0.000, 0.876, 0.376)
Fe (0.500, 0.430, 0.283)
Fe (0.500, 0.717, 0.430)
Fe (0.500, 0.217, 0.070)
Fe (0.500, 0.570, 0.717)
Fe (0.500, 0.000, 0.500)
Fe (0.500, 0.930, 0.217)
Fe (0.500, 0.500, 0.000)
Fe (0.500, 0.283, 0.570)
Fe (0.500, 0.783, 0.930)
Fe (0.500, 0.070, 0.783)

Summary:
total magnetization: 0.0 μB per formula unit
DFT formation energy: -0.387 eV per atom
raw total energy: -8.152 eV per atom

Entry 12:
# Y2AlFeB

A geometry-optimized Y2AlFeB structure (PBE, Alexandria).

abc: 5.366 4.204 5.366
angles: 90.00 90.00 90.00
Site moments in Bohr magnetons follow the coordinates.
Positions (direct):
Y (0.500, 0.000, 0.000)  -0.18
Y (0.000, 0.000, 0.500)  -0.14
Fe (0.000, 0.500, 0.000)  1.62
B (0.500, 0.500, 0.500)  -0.05
Al (0.000, 0.000, 0.000)  -0.05

Summary:
total magnetization: 0.8 μB per formula unit
DFT formation energy: 1.133 eV per atom
raw total energy: -5.230 eV per atom